1.
Density functional theory data (PBE) for CeZnPdRu after structural relaxation.

Output
Energy relative to the lowest polymorph listed for this composition (meV per atom): 390.8
Electronic total energy (eV for the cell shown): -22.11
Formation energy from the elements (eV per atom): -0.11

Cell and atoms, written as POSCAR:
```
CeZnPdRu
1.0
-1.615 -0.877 4.315
-2.026 -4.121 0.953
2.193 -3.114 2.736
Ru Zn Pd Ce
1 1 1 1
direct
0.000 0.000 0.000
0.250 0.250 0.250
0.750 0.750 0.750
0.500 0.500 0.500
```

2.
Density functional theory data (PBE) for SrReN3 after structural relaxation.

Output
Electronic total energy (eV for the cell shown): -35.32
ΔE_f (raw) (meV/atom): 757

Cell and atoms, written as POSCAR:
```
SrReN3
1.0
-2.316 -2.350 2.195
3.207 -1.887 1.363
0.298 3.237 3.780
Re N Sr
1 3 1
direct
0.500 0.500 0.516
0.000 0.000 0.606
0.500 0.000 0.517
0.000 0.500 0.517
0.000 0.000 0.107
```

3.
Density functional theory data (PBE) for TaTe5Pt after structural relaxation.

Output
Electronic total energy (eV for the cell shown): -72.25
ΔE_f (raw) (meV/atom): -360

Cell and atoms, written as POSCAR:
```
TaTe5Pt
1.0
7.343 0.018 0.000
-6.388 3.620 0.000
0.000 0.000 15.720
Ta Te Pt
2 10 2
direct
0.505 0.495 0.750
0.495 0.505 0.250
0.158 0.842 0.750
0.842 0.158 0.250
0.398 0.602 0.084
0.602 0.398 0.916
0.901 0.099 0.853
0.099 0.901 0.147
0.099 0.901 0.353
0.901 0.099 0.647
0.398 0.602 0.416
0.602 0.398 0.584
0.000 0.000 0.000
0.000 0.000 0.500
```

4.
Density functional theory data (PBE) for Hf3AlB after structural relaxation.

Output
Energy relative to the lowest polymorph listed for this composition (meV per atom): 0.0
Electronic total energy (eV for the cell shown): -42.05
Formation energy from the elements (eV per atom): -0.35

Cell and atoms, written as POSCAR:
```
Hf3AlB
1.0
4.554 0.000 0.000
0.000 4.554 0.000
0.000 0.000 4.554
B Hf Al
1 3 1
direct
0.000 0.000 0.000
0.000 0.500 0.000
0.000 0.000 0.500
0.500 0.000 0.000
0.500 0.500 0.500
```

5.
Density functional theory data (PBE) for CuHg2As after structural relaxation.

Output
Electronic total energy (eV for the cell shown): -16.12
Formation energy from the elements (eV per atom): 0.32

Cell and atoms, written as POSCAR:
```
CuHg2As
1.0
-0.766 4.153 -0.221
-0.561 0.120 4.190
8.658 3.920 3.182
As Hg Cu
2 4 2
direct
0.000 0.000 0.000
0.750 0.250 0.500
0.610 0.125 0.250
0.140 0.625 0.250
0.375 0.390 0.750
0.875 0.860 0.750
0.500 0.500 0.000
0.250 0.750 0.500
```

6.
Density functional theory data (PBE) for Mg2BiSb after structural relaxation.

Output
Energy relative to the lowest polymorph listed for this composition (meV per atom): 287.0
Electronic total energy (eV for the cell shown): -10.71
ΔE_f (raw) (meV/atom): 120

Cell and atoms, written as POSCAR:
```
Mg2BiSb
1.0
4.128 0.000 0.000
2.064 3.575 0.000
2.064 1.192 8.932
Sb Mg Bi
1 2 1
direct
0.000 0.000 0.000
0.103 0.103 0.690
0.897 0.897 0.310
0.500 0.500 0.500
```

7.
Density functional theory data (PBE) for HoVW2 after structural relaxation.

Output
Electronic total energy (eV for the cell shown): -37.39
Formation energy from the elements (eV per atom): 0.55

Cell and atoms, written as POSCAR:
```
HoVW2
1.0
-0.998 2.701 0.963
-0.798 0.376 2.906
7.843 3.429 3.299
Ho W V
1 2 1
direct
0.500 0.500 0.500
0.738 0.738 0.785
0.262 0.262 0.215
0.000 0.000 0.000
```

8.
Density functional theory data (PBE) for NaTl2I after structural relaxation.

Output
Energy relative to the lowest polymorph listed for this composition (meV per atom): 107.5
Electronic total energy (eV for the cell shown): -8.13
ΔE_f (raw) (meV/atom): -132

Cell and atoms, written as POSCAR:
```
NaTl2I
1.0
-5.319 -2.398 0.749
-3.698 2.235 3.991
-4.808 2.904 -1.746
I Na Tl
1 1 2
direct
0.500 0.500 0.500
0.000 0.000 0.000
0.250 0.250 0.250
0.750 0.750 0.750
```

9.
Density functional theory data (PBE) for BaRuBr2N after structural relaxation.

Output
Electronic total energy (eV for the cell shown): -23.85
ΔE_f (raw) (meV/atom): -196

Cell and atoms, written as POSCAR:
```
BaRuBr2N
1.0
5.786 0.000 0.000
0.000 5.786 0.000
0.000 0.000 3.718
Ru Ba Br N
1 1 2 1
direct
0.000 0.000 0.500
0.500 0.500 0.500
0.000 0.500 0.000
0.500 0.000 0.000
0.000 0.000 0.000
```

10.
Density functional theory data (PBE) for TcNiSN2 after structural relaxation.

Output
Energy relative to the lowest polymorph listed for this composition (meV per atom): 0.0
Electronic total energy (eV for the cell shown): -33.06
ΔE_f (raw) (meV/atom): 774

Cell and atoms, written as POSCAR:
```
TcNiSN2
1.0
3.748 0.000 0.000
0.000 3.748 0.000
0.000 0.000 5.143
Ni S Tc N
1 1 1 2
direct
0.500 0.500 0.500
0.000 0.000 0.500
0.000 0.000 0.000
0.000 0.500 0.000
0.500 0.000 0.000
```

11.
Density functional theory data (PBE) for Sc2CrP after structural relaxation.

Output
Electronic total energy (eV for the cell shown): -29.50
Formation energy from the elements (eV per atom): -0.45

Cell and atoms, written as POSCAR:
```
Sc2CrP
1.0
3.406 0.000 0.000
0.000 3.406 0.000
0.000 0.000 5.996
Sc Cr P
2 1 1
direct
0.000 0.000 0.738
0.000 0.000 0.262
0.500 0.500 0.000
0.500 0.500 0.500
```

12.
Density functional theory data (PBE) for PmPr6Tl2 after structural relaxation.

Output
Electronic total energy (eV for the cell shown): -39.54
Formation energy from the elements (eV per atom): -0.15

Cell and atoms, written as POSCAR:
```
PmPr6Tl2
1.0
-2.483 2.310 1.896
2.905 1.319 6.178
5.835 10.652 -1.357
Pm Pr Tl
1 6 2
direct
0.000 0.000 0.000
0.685 0.504 0.125
0.315 0.496 0.875
0.307 0.797 0.589
0.987 0.684 0.343
0.013 0.316 0.657
0.693 0.203 0.411
0.362 0.073 0.202
0.638 0.927 0.798
```